P | In2GaF5 | PBE | relaxed

* space-group type: Cc
* total moment: 0.00 μB/f.u.
* D(E_F): 0.000 states/eV/atom

Cell and atoms, written as extended XYZ:
```
16
Lattice="-4.414 2.469 2.958 1.826 1.213 7.515 1.901 7.157 2.665" Properties=species:S:1:pos:R:3 pbc="T T T"
In -1.276 4.356 6.080
In -0.477 3.052 2.526
In 0.599 8.535 11.162
In 1.373 7.245 7.625
Ga -2.169 5.551 9.539
Ga -2.131 8.523 7.114
F -1.286 7.085 6.183
F -2.822 4.591 8.029
F 1.440 7.492 5.087
F 0.510 3.087 7.379
F 0.614 5.662 3.327
F -0.433 5.547 8.742
F -0.461 8.913 7.945
F -1.514 6.509 11.050
F -3.545 2.590 2.924
F 1.797 4.829 5.683
```

---

Q | In2GaF5 | PBE | relaxed

* space-group type: I4mm
* total moment: 0.00 μB/f.u.
* D(E_F): 0.000 states/eV/atom

Cell and atoms, written as extended XYZ:
```
8
Lattice="-0.223 4.698 3.994 2.854 -3.461 4.237 2.819 0.895 -5.667" Properties=species:S:1:pos:R:3 pbc="T T T"
In 2.963 -1.169 1.543
In 1.424 2.911 1.421
Ga 5.274 2.067 2.631
F 0.716 3.099 3.934
F 0.843 0.366 1.612
F 2.372 1.085 6.400
F 2.505 -1.646 4.076
F 3.668 1.479 3.232
```

---

Energies in eV/atom, measured from the most stable structure: P 0.000; Q 0.029.

---

P | InGa2F8 | PBE | relaxed

* space-group type: P-3
* total moment: 0.00 μB/f.u.
* D(E_F): 0.178 states/eV/atom

Cell and atoms, written as extended XYZ:
```
11
Lattice="3.914 0.000 0.000 -0.001 5.886 -3.397 0.000 -0.002 6.796" Properties=species:S:1:pos:R:3 pbc="T T T"
F 0.991 3.923 0.000
F 2.923 1.961 3.398
F 2.930 4.836 -1.592
F 0.984 1.038 1.812
F 0.984 3.796 3.392
F 0.984 1.048 4.991
F 2.930 4.846 1.587
F 2.930 2.088 0.007
Ga 0.961 1.961 3.398
Ga 2.953 3.923 0.000
In 0.000 -0.002 6.796
```

---

Q | InGa2F8 | PBE | relaxed

* space-group type: C2/m
* total moment: 0.00 μB/f.u.
* D(E_F): 0.163 states/eV/atom

Cell and atoms, written as extended XYZ:
```
11
Lattice="-2.136 -4.415 2.527 4.718 0.072 2.322 -0.529 3.505 3.885" Properties=species:S:1:pos:R:3 pbc="T T T"
In 0.000 0.000 0.000
Ga 1.894 0.450 5.367
Ga 0.160 -1.288 3.367
F 0.328 1.840 5.313
F -1.516 -0.557 4.387
F 2.912 2.019 5.341
F -0.858 -2.857 3.393
F 3.570 -0.281 4.348
F 1.725 -2.678 3.421
F 0.840 -1.140 5.324
F 1.214 0.302 3.410
```

---

Energies in eV/atom, measured from the most stable structure: P 0.000; Q 0.025.

---

P | InGaF2 | PBE | relaxed

* space-group type: I-42d
* total moment: 0.00 μB/f.u.
* D(E_F): 0.000 states/eV/atom

Cell and atoms, written as extended XYZ:
```
8
Lattice="5.840 0.000 0.000 0.000 5.840 0.000 2.920 2.920 5.806" Properties=species:S:1:pos:R:3 pbc="T T T"
F 4.244 1.460 1.452
F 1.596 4.380 1.452
F 4.380 4.516 4.355
F 7.300 7.164 4.355
Ga 2.920 2.920 0.000
Ga 2.920 5.840 2.903
In 0.000 0.000 0.000
In 5.840 2.920 2.903
```

---

Q | InGaF2 | PBE | relaxed

* space-group type: R-3m
* total moment: 0.00 μB/f.u.
* D(E_F): 0.180 states/eV/atom

Cell and atoms, written as extended XYZ:
```
4
Lattice="1.873 0.000 7.867 -0.937 1.622 7.867 -0.937 -1.622 7.867" Properties=species:S:1:pos:R:3 pbc="T T T"
F 0.000 0.000 21.362
F 0.000 0.000 2.239
Ga 0.000 0.000 11.801
In 0.000 0.000 0.000
```

---

Energies in eV/atom, measured from the most stable structure: P 0.000; Q 0.009.